No. 1
Material: ZrSc2Mn
Method: DFT, PBE
State: optimized geometry

Lattice parameters (Å, degrees): 4.8425 4.8425 6.8627 90.00 90.00 90.00
Space group I-4m2 (No. 119)
Inequivalent atoms, fractional coordinates:
1 Zr 0.0000 0.0000 0.0000 [2 per cell]
2 Sc 0.0000 0.0000 0.5000 [2 per cell]
3 Sc 0.0000 0.5000 0.2500 [2 per cell]
4 Mn 0.0000 0.5000 0.7500 [2 per cell]

Values from the calculation:
Offset from the most stable computed form   125 meV per atom
ΔE_f   0.16 eV per atom
Total energy   -29.757 eV per formula unit

=====

No. 2
Material: PmEr5Bi6
Method: DFT, PBE
State: optimized geometry

Lattice parameters (Å, degrees): 7.7430 13.4125 7.7425 90.00 109.50 90.00
Space group C2/m (No. 12)
Inequivalent atoms, fractional coordinates:
1 Pm 0.0000 0.0000 0.0000 [2 per cell]
2 Er 0.0000 0.1640 0.5000 [4 per cell]
3 Er 0.0000 0.3323 0.0000 [4 per cell]
4 Er 0.0000 0.5000 0.5000 [2 per cell]
5 Bi 0.2446 0.5000 0.2511 [4 per cell]
6 Bi 0.2458 0.3308 0.7460 [8 per cell]

Values from the calculation:
ΔE_f   -0.83 eV per atom
Total energy   -60.824 eV per formula unit

=====

No. 3
Material: Tb2HoReO8
Method: DFT, PBE
State: optimized geometry

Lattice parameters (Å, degrees): 7.1087 7.2061 6.7527 90.00 90.00 90.00
Space group Cmmm (No. 65)
Inequivalent atoms, fractional coordinates:
1 Tb 0.0000 0.0000 0.2482 [4 per cell]
2 Ho 0.0000 0.5000 0.0000 [2 per cell]
3 Re 0.0000 0.5000 0.5000 [2 per cell]
4 O 0.0000 0.3197 0.2922 [8 per cell]
5 O 0.1949 0.0000 0.0000 [4 per cell]
6 O 0.2332 0.0000 0.5000 [4 per cell]

Values from the calculation:
Uncorrected formation energy   -64.22 kcal/mol of atoms
Total energy   -99.372 eV per formula unit

=====

No. 4
Material: KSr2Mo
Method: DFT, PBE
State: optimized geometry

Lattice parameters (Å, degrees): 5.3187 5.3187 11.6375 90.00 90.00 90.00
Space group I-4m2 (No. 119)
Inequivalent atoms, fractional coordinates:
1 K 0.0000 0.0000 0.0000 [2 per cell]
2 Sr 0.0000 0.0000 0.5000 [2 per cell]
3 Sr 0.0000 0.5000 0.2500 [2 per cell]
4 Mo 0.0000 0.5000 0.7500 [2 per cell]

Values from the calculation:
Offset from the most stable computed form   279 meV per atom
ΔE_f   1.03 eV per atom
Total energy   -11.156 eV per formula unit

=====

No. 5
Material: HfMgSe
Method: DFT, PBE
State: optimized geometry

Lattice parameters (Å, degrees): 3.5371 3.5371 11.2039 90.00 90.00 90.00
Space group P4mm (No. 99)
Inequivalent atoms, fractional coordinates:
1 Hf 0.0000 0.0000 0.0000 [1 per cell]
2 Hf 0.5000 0.5000 0.1661 [1 per cell]
3 Mg 0.0000 0.0000 0.5184 [1 per cell]
4 Mg 0.5000 0.5000 0.8179 [1 per cell]
5 Se 0.0000 0.0000 0.2741 [1 per cell]
6 Se 0.5000 0.5000 0.5741 [1 per cell]

Values from the calculation:
Offset from the most stable computed form   24 meV per atom
Uncorrected formation energy   -14.34 kcal/mol of atoms
Total energy   -16.898 eV per formula unit

=====

No. 6
Material: BaTcW
Method: DFT, PBE
State: optimized geometry

Lattice parameters (Å, degrees): 6.6246 6.6246 6.6246 90.00 90.00 90.00
Space group F-43m (No. 216)
Inequivalent atoms, fractional coordinates:
1 Ba 0.0000 0.0000 0.0000 [4 per cell]
2 Tc 0.2500 0.2500 0.7500 [4 per cell]
3 W 0.0000 0.0000 0.5000 [4 per cell]

Values from the calculation:
Offset from the most stable computed form   847 meV per atom
ΔE_f   1.56 eV per atom
Total energy   -20.566 eV per formula unit

=====

No. 7
Material: BaTl2Rh
Method: DFT, PBE
State: optimized geometry

Lattice parameters (Å, degrees): 5.7399 5.7399 17.5723 90.00 90.00 90.00
Space group I-42d (No. 122)
Inequivalent atoms, fractional coordinates:
1 Ba 0.0000 0.0000 0.0000 [4 per cell]
2 Tl 0.0822 0.2500 0.6250 [8 per cell]
3 Rh 0.0000 0.0000 0.5000 [4 per cell]

Values from the calculation:
ΔE_f   0.02 eV per atom
Total energy   -13.915 eV per formula unit

=====

No. 8
Material: ReMo2WN
Method: DFT, PBE
State: optimized geometry

Lattice parameters (Å, degrees): 4.1102 4.1102 4.1085 90.00 90.00 90.00
Space group P4/mmm (No. 123)
Inequivalent atoms, fractional coordinates:
1 Re 0.0000 0.0000 0.0000 [1 per cell]
2 Mo 0.0000 0.5000 0.5000 [2 per cell]
3 W 0.5000 0.5000 0.0000 [1 per cell]
4 N 0.5000 0.5000 0.5000 [1 per cell]

Values from the calculation:
Offset from the most stable computed form   0 meV per atom
Uncorrected formation energy   -0.33 kcal/mol of atoms
Total energy   -55.460 eV per formula unit

=====

> Look up the total energy of the sixth one.

-20.566 eV per formula unit